Crystalline MnZn2Cd2Pt5 at its relaxed geometry, computed with PBE.

Volume: 166.58 Å³/f.u.
Raw total energy: -93.91 eV for the cell shown
DOS at the Fermi energy: 4.5 states/eV per cell
Calculated formation energy: -3.2 eV/f.u.

Geometry as POSCAR:
```
MnZn2Cd2Pt5
1.0
-3.3173 1.4860 1.1845
-1.1943 -7.2529 5.7545
4.4838 4.6232 6.7577
Mn Zn Cd Pt
2 4 4 10
direct
0.0000 0.0000 0.0000
0.0000 0.5000 0.5000
0.0000 0.1271 0.6271
0.0000 0.8729 0.3729
0.0000 0.6271 0.8729
0.0000 0.3729 0.1271
0.0000 0.6722 0.1722
0.0000 0.3278 0.8278
0.0000 0.1722 0.3278
0.0000 0.8278 0.6722
0.5000 0.1966 0.0737
0.5000 0.8034 0.9263
0.5000 0.0737 0.8034
0.5000 0.6966 0.4263
0.5000 0.9263 0.1966
0.5000 0.3034 0.5737
0.5000 0.5737 0.6966
0.5000 0.4263 0.3034
0.5000 0.5000 0.0000
0.5000 0.0000 0.5000
```